The following is a meta-GGA SCAN calculation of LiGeN at its PBEsol-relaxed geometry, from Alexandria via LeMat-Bulk.

Results
excess energy over the best structure of this formula in the dataset: 0 meV per atom
total magnetic moment: 0.0 Bohr magnetons per cell
formation energy (no corrections): -1.2 eV per formula unit
space group: Pnma (62)

```
LiGeN
1.0
-0.6035 3.7749 1.4536
-0.3442 -2.0040 5.0613
6.7510 0.7831 0.7692
N Li Ge
4 4 4
Direct
0.2500 0.8783 0.3453
0.7500 0.1217 0.6547
0.7500 0.6217 0.8453
0.2500 0.3783 0.1547
0.7500 0.9245 0.4099
0.2500 0.0755 0.5901
0.2500 0.5755 0.9099
0.7500 0.4245 0.0901
0.2500 0.5423 0.3930
0.7500 0.9577 0.8930
0.7500 0.4577 0.6070
0.2500 0.0423 0.1070
```